## BeSiSe (PBE)

Data for a relaxed BeSiSe crystal.

Its excess energy over the best structure of this formula in the dataset is 85.5 kJ per mole of atoms. The value obtained for the total magnetization is 0.000 μB/atom.

The space group is F-43m (No. 216) and the conventional cell measures 5.874, 5.874 and 5.874 Å, with angles of 90.00, 90.00 and 90.00 degrees. The asymmetric unit holds Be at (0.000, 0.000, 0.000), Si at (0.250, 0.250, 0.750) and Se at (0.250, 0.250, 0.250).